ZrAgSe | PBE | optimized geometry

Calculated values
- D(E_F): 3.4 states/eV per cell
- Total DFT energy (no corrections): -16.41 eV per formula unit
- Formation energy from raw total energies: -0.510 eV/atom
- Energy above the lowest structure with this stoichiometry: 0 meV/atom
- Magnetization: 0.00 μB/f.u.

a = 3.338 Å, b = 3.338 Å, c = 11.250 Å
α = 90.00°, β = 90.00°, γ = 90.00°
Space group I4mm (No. 107)
Unique sites:
Zr  0.000  0.000  0.000 (multiplicity 2)
Ag  0.000  0.000  0.684 (multiplicity 2)
Se  0.000  0.000  0.376 (multiplicity 2)